1.
{
  "formula": "RbTlTc3",
  "functional": "GGA-PBE",
  "state": "optimized geometry",
  "lattice_angstrom": [[4.820, 0.000, 0.000], [0.000, 4.820, 0.000], [0.000, 0.000, 4.820]],
  "species": ["Rb", "Tl", "Tc", "Tc", "Tc"],
  "frac_coords": [[0.000, 0.000, 0.000], [0.500, 0.500, 0.500], [0.000, 0.000, 0.500], [0.000, 0.500, 0.000], [0.500, 0.000, 0.000]],
  "space_group": "Pm-3m, No. 221",
  "relative_energy_mev_per_atom": 769,
  "volume_a3_per_atom": 22.4,
  "dos_at_fermi_per_ev_cell": 8.80
}



2.
{
  "formula": "Rb2V2Tc",
  "functional": "GGA-PBE",
  "state": "optimized geometry",
  "lattice_angstrom": [[-1.976, 1.976, 7.747], [1.976, -1.976, 7.747], [1.976, 1.976, -7.747]],
  "species": ["Rb", "Rb", "V", "V", "Tc"],
  "frac_coords": [[0.250, 0.750, 0.500], [0.750, 0.250, 0.500], [0.061, 0.061, 0.000], [0.939, 0.939, 0.000], [0.500, 0.500, 0.000]],
  "space_group": "I4/mmm, No. 139",
  "relative_energy_mev_per_atom": 582,
  "volume_a3_per_atom": 24.2,
  "dos_at_fermi_per_ev_cell": 6.58
}



3.
{
  "formula": "Rb3VTc",
  "functional": "GGA-PBE",
  "state": "optimized geometry",
  "lattice_angstrom": [[6.674, 0.000, 0.000], [0.000, 6.674, 0.000], [0.000, 0.000, 6.674]],
  "species": ["Rb", "Rb", "Rb", "V", "Tc"],
  "frac_coords": [[0.000, 0.000, 0.500], [0.000, 0.500, 0.000], [0.500, 0.000, 0.000], [0.500, 0.500, 0.500], [0.000, 0.000, 0.000]],
  "space_group": "Pm-3m, No. 221",
  "relative_energy_mev_per_atom": 0,
  "volume_a3_per_atom": 59.5,
  "dos_at_fermi_per_ev_cell": 22.94
}



Number 1: DFT formation energy 3111 meV/atom. Number 2: DFT formation energy 1673 meV/atom. Number 3: DFT formation energy 1867 meV/atom.